A relaxed structure of Nd4Te2AsRh. Source: Alexandria, functional PBE-GGA.

Geometry as POSCAR:
```
Nd4Te2AsRh
1.0
4.289 0.000 0.000
0.000 7.550 0.164
0.000 -2.610 7.290
As Te Nd Rh
1 2 4 1
Direct
0.000 0.000 0.000
0.500 0.000 0.500
0.000 0.500 0.500
0.000 0.731 0.214
0.500 0.247 0.218
0.000 0.269 0.786
0.500 0.753 0.782
0.500 0.500 0.000
```

Symmetry = P2/m (10)
Final energy = -47.3 eV per formula unit
Size of the total moment = 0.000 μB per cell

A relaxed structure of SrAs2RhSe. Source: Alexandria, functional PBE-GGA.

Geometry as POSCAR:
```
SrAs2RhSe
1.0
-4.303 -1.257 -3.298
2.675 -4.554 -1.754
-2.297 -2.934 4.115
As Se Sr Rh
2 1 1 1
Direct
0.500 0.000 0.000
0.000 0.500 0.000
0.000 0.000 0.500
0.000 0.000 0.000
0.500 0.500 0.500
```

Symmetry = P4/mmm (123)
Size of the total moment = 1.620 μB per cell
ΔE to the lowest computed polymorph = 1.758 eV per atom

A relaxed structure of B5C7. Source: Alexandria, functional PBE-GGA.

Geometry as POSCAR:
```
B5C7
1.0
0.536 -1.056 -4.428
1.075 -3.081 -3.219
-7.682 -0.253 3.003
B C
5 7
Direct
0.000 0.000 0.003
0.661 0.661 0.344
0.332 0.332 0.177
0.667 0.667 0.835
0.337 0.337 0.670
0.498 0.498 0.388
0.998 0.998 0.500
0.503 0.503 0.867
0.163 0.163 0.209
0.835 0.835 0.039
0.164 0.164 0.688
0.840 0.840 0.531
```

Symmetry = Cm (8)
ΔH_f (0 K) = 0.410 eV per atom
Size of the total moment = 0.000 μB per cell
ΔE to the lowest computed polymorph = 0.152 eV per atom

A relaxed structure of SmAgHgRh. Source: Alexandria, functional PBE-GGA.

Geometry as POSCAR:
```
SmAgHgRh
1.0
-4.371 -2.022 -0.836
-0.431 -4.861 -0.279
-2.275 -2.461 3.558
Hg Sm Ag Rh
1 1 1 1
Direct
0.500 0.500 0.500
0.000 0.000 0.000
0.250 0.250 0.250
0.750 0.750 0.750
```

Symmetry = F-43m (216)
ΔH_f (0 K) = -0.297 eV per atom
Size of the total moment = 0.000 μB per cell

A relaxed structure of Sr3MnSi. Source: Alexandria, functional PBE-GGA.

Geometry as POSCAR:
```
Sr3MnSi
1.0
-2.855 -1.681 5.056
-2.215 -4.842 -2.861
4.846 -3.203 1.671
Sr Si Mn
3 1 1
Direct
0.000 0.000 0.500
0.000 0.500 0.000
0.500 0.000 0.000
0.000 0.000 0.000
0.500 0.500 0.500
```

Symmetry = Pm-3m (221)
Size of the total moment = 3.432 μB per cell
ΔE to the lowest computed polymorph = 0.000 eV per atom

A relaxed structure of AgAsSCl2. Source: Alexandria, functional PBE-GGA.

Geometry as POSCAR:
```
AgAsSCl2
1.0
-0.342 -4.498 -1.741
0.385 -1.766 4.485
-5.119 0.190 0.515
S Cl As Ag
1 2 1 1
Direct
0.000 0.000 0.500
0.500 0.000 0.000
0.000 0.500 0.000
0.500 0.500 0.500
0.000 0.000 0.000
```

Symmetry = P4/mmm (123)
Final energy = -12.9 eV per formula unit
Size of the total moment = 1.194 μB per cell